Below is crystalline LaPrHf at its relaxed geometry, with properties calculated at the PBE level.

The space group is F-43m (No. 216) and the conventional cell measures 7.518, 7.518 and 7.518 Å, with angles of 90.00, 90.00 and 90.00 degrees. The asymmetric unit holds La at (0.000, 0.000, 0.000), Pr at (0.000, 0.000, 0.500) and Hf at (0.250, 0.250, 0.250).

The excess energy over the best structure of this formula in the dataset is 0.000 eV/atom. As for the magnetic moment: 1.42 μB per formula unit.

---

Below is crystalline LaHfPt2 at its relaxed geometry, with properties calculated at the PBE level.

The space group is Amm2 (No. 38) and the conventional cell measures 4.484, 3.588 and 10.744 Å, with angles of 90.00, 90.00 and 90.00 degrees. The asymmetric unit holds La at (0.000, 0.000, 0.000), Hf at (0.500, 0.000, 0.278), Pt at (0.000, 0.000, 0.736) and Pt at (0.500, 0.000, 0.551).

As for the magnetic moment: 0.00 μB per formula unit.

---

no.,energy of formation from the pure elements (meV/atom)
1,782
2,-1014